No. 1
# MgAsPdRh PBE-GGA optimized geometry
# Total magnetization, μB/atom: 0.000
# DOS(E_F), states/eV per cell: 16.3
# Uncorrected energy, eV/atom: -5.1173
data_MgAsPdRh
_cell_length_a 6.2689
_cell_length_b 6.2689
_cell_length_c 6.2689
_cell_angle_alpha 90.00
_cell_angle_beta 90.00
_cell_angle_gamma 90.00
_space_group_name_H-M_alt 'F -4 3 m'
_space_group_IT_number 216
_space_group_name_Hall 'F -4 2 3'
loop_
_atom_site_label
_atom_site_fract_x
_atom_site_fract_y
_atom_site_fract_z
_atom_site_occupancy
Mg1 0.0000 0.0000 0.0000 1
As1 0.0000 0.0000 0.5000 1
Pd1 0.2500 0.2500 0.7500 1
Rh1 0.2500 0.2500 0.2500 1

No. 2
# LaFePt2 PBE-GGA optimized geometry
# Total magnetization, μB/atom: 0.871
# DOS(E_F), states/eV per cell: 6.8
# Uncorrected energy, eV/atom: -6.7884
# Energy relative to the lowest polymorph listed for this composition, eV per atom: 0.255
data_LaFePt2
_cell_length_a 4.2113
_cell_length_b 5.3312
_cell_length_c 7.3500
_cell_angle_alpha 90.00
_cell_angle_beta 90.00
_cell_angle_gamma 90.00
_space_group_name_H-M_alt 'I m m m'
_space_group_IT_number 71
_space_group_name_Hall '-I 2 2'
loop_
_atom_site_label
_atom_site_fract_x
_atom_site_fract_y
_atom_site_fract_z
_atom_site_occupancy
La1 0.0000 0.0000 0.0000 1
Fe1 0.0000 0.0000 0.5000 1
Pt1 0.0000 0.5000 0.1999 1

No. 3
# HoErTlCo PBE-GGA optimized geometry
# Total magnetization, μB/atom: 0.312
# DOS(E_F), states/eV per cell: 9.3
# Uncorrected energy, eV/atom: -4.7851
# Energy relative to the lowest polymorph listed for this composition, eV per atom: 0.136
data_HoErTlCo
_cell_length_a 7.1704
_cell_length_b 7.1704
_cell_length_c 7.1704
_cell_angle_alpha 90.00
_cell_angle_beta 90.00
_cell_angle_gamma 90.00
_space_group_name_H-M_alt 'F -4 3 m'
_space_group_IT_number 216
_space_group_name_Hall 'F -4 2 3'
loop_
_atom_site_label
_atom_site_fract_x
_atom_site_fract_y
_atom_site_fract_z
_atom_site_occupancy
Ho1 0.0000 0.0000 0.0000 1
Er1 0.0000 0.0000 0.5000 1
Tl1 0.2500 0.2500 0.2500 1
Co1 0.2500 0.2500 0.7500 1

No. 4
# RbNaSnF6 PBE-GGA optimized geometry
# Total magnetization, μB/atom: 0.018
# DOS(E_F), states/eV per cell: 0.0
# Uncorrected energy, eV/atom: -4.6840
data_RbNaSnF6
_cell_length_a 8.3344
_cell_length_b 13.3541
_cell_length_c 11.1249
_cell_angle_alpha 90.00
_cell_angle_beta 90.00
_cell_angle_gamma 90.00
_space_group_name_H-M_alt 'P b c n'
_space_group_IT_number 60
_space_group_name_Hall '-P 2n 2ab'
loop_
_atom_site_label
_atom_site_fract_x
_atom_site_fract_y
_atom_site_fract_z
_atom_site_occupancy
Rb1 0.0000 0.0748 0.2500 1
Rb2 0.0000 0.3709 0.7500 1
Na1 0.2446 0.3573 0.0753 1
Sn1 0.2495 0.1345 0.9258 1
F1 0.0189 0.1602 0.8826 1
F2 0.0208 0.3846 0.4717 1
F3 0.1873 0.0025 0.4792 1
F4 0.2102 0.2227 0.3765 1
F5 0.2110 0.4242 0.2622 1
F6 0.2142 0.1847 0.0953 1

No. 5
# In6SbPd12 PBE-GGA optimized geometry
# Total magnetization, μB/atom: 0.000
# DOS(E_F), states/eV per cell: 21.3
# Uncorrected energy, eV/atom: -4.7432
data_In6SbPd12
_cell_length_a 11.9029
_cell_length_b 11.9029
_cell_length_c 8.5763
_cell_angle_alpha 90.00
_cell_angle_beta 90.00
_cell_angle_gamma 120.00
_space_group_name_H-M_alt 'R -3'
_space_group_IT_number 148
_space_group_name_Hall '-R 3'
loop_
_atom_site_label
_atom_site_fract_x
_atom_site_fract_y
_atom_site_fract_z
_atom_site_occupancy
In1 0.0491 0.8284 0.2334 1
Sb1 0.0000 0.0000 0.5000 1
Pd1 0.0491 0.8142 0.5831 1
Pd2 0.0573 0.8213 0.9180 1

No. 6
# NdZnSi2Pt5 PBE-GGA optimized geometry
# Total magnetization, μB/atom: 0.000
# DOS(E_F), states/eV per cell: 2.6
# Uncorrected energy, eV/atom: -5.9501
data_NdZnSi2Pt5
_cell_length_a 4.0862
_cell_length_b 4.0862
_cell_length_c 10.3742
_cell_angle_alpha 90.00
_cell_angle_beta 90.00
_cell_angle_gamma 90.00
_space_group_name_H-M_alt 'P 4/m m m'
_space_group_IT_number 123
_space_group_name_Hall '-P 4 2'
loop_
_atom_site_label
_atom_site_fract_x
_atom_site_fract_y
_atom_site_fract_z
_atom_site_occupancy
Nd1 0.0000 0.0000 0.0000 1
Zn1 0.0000 0.0000 0.5000 1
Si1 0.5000 0.5000 0.2265 1
Pt1 0.0000 0.5000 0.3421 1
Pt2 0.5000 0.5000 0.0000 1

No. 7
# Ac2PmRh2Br2 PBE-GGA optimized geometry
# Total magnetization, μB/atom: 0.000
# DOS(E_F), states/eV per cell: 7.0
# Uncorrected energy, eV/atom: -5.3779
data_Ac2PmRh2Br2
_cell_length_a 5.2348
_cell_length_b 5.2348
_cell_length_c 16.5429
_cell_angle_alpha 90.00
_cell_angle_beta 90.00
_cell_angle_gamma 90.00
_space_group_name_H-M_alt 'I 4/m m m'
_space_group_IT_number 139
_space_group_name_Hall '-I 4 2'
loop_
_atom_site_label
_atom_site_fract_x
_atom_site_fract_y
_atom_site_fract_z
_atom_site_occupancy
Ac1 0.0000 0.0000 0.1135 1
Pm1 0.0000 0.0000 0.5000 1
Rh1 0.0000 0.5000 0.0000 1
Br1 0.0000 0.0000 0.3066 1

No. 8
# Ac6Pr5Dy PBE-GGA optimized geometry
# Total magnetization, μB/atom: 0.000
# DOS(E_F), states/eV per cell: 38.0
# Uncorrected energy, eV/atom: -4.4039
data_Ac6Pr5Dy
_cell_length_a 5.5014
_cell_length_b 10.5975
_cell_length_c 16.4182
_cell_angle_alpha 90.00
_cell_angle_beta 90.00
_cell_angle_gamma 90.00
_space_group_name_H-M_alt 'I m m m'
_space_group_IT_number 71
_space_group_name_Hall '-I 2 2'
loop_
_atom_site_label
_atom_site_fract_x
_atom_site_fract_y
_atom_site_fract_z
_atom_site_occupancy
Ac1 0.0000 0.2476 0.0000 1
Ac2 0.0000 0.2517 0.3342 1
Pr1 0.0000 0.0000 0.1662 1
Pr2 0.0000 0.0000 0.5000 1
Pr3 0.0000 0.5000 0.1664 1
Dy1 0.0000 0.5000 0.5000 1

No. 9
# Na2NpRh2O6 PBE-GGA optimized geometry
# Total magnetization, μB/atom: 0.275
# DOS(E_F), states/eV per cell: 8.1
# Uncorrected energy, eV/atom: -7.0833
data_Na2NpRh2O6
_cell_length_a 5.3818
_cell_length_b 9.4698
_cell_length_c 6.0649
_cell_angle_alpha 90.00
_cell_angle_beta 109.85
_cell_angle_gamma 90.00
_space_group_name_H-M_alt 'C 1 2/m 1'
_space_group_IT_number 12
_space_group_name_Hall '-C 2y'
loop_
_atom_site_label
_atom_site_fract_x
_atom_site_fract_y
_atom_site_fract_z
_atom_site_occupancy
Na1 0.0000 0.1730 0.0000 1
Np1 0.0000 0.0000 0.5000 1
Rh1 0.0000 0.3347 0.5000 1
O1 0.2369 0.5000 0.7066 1
O2 0.2449 0.1755 0.7034 1

No. 10
# Ce3Ge4 PBE-GGA optimized geometry
# Total magnetization, μB/atom: 0.237
# DOS(E_F), states/eV per cell: 26.8
# Uncorrected energy, eV/atom: -5.7103
# Energy relative to the lowest polymorph listed for this composition, eV per atom: 0.153
data_Ce3Ge4
_cell_length_a 4.0284
_cell_length_b 4.0284
_cell_length_c 20.3189
_cell_angle_alpha 90.00
_cell_angle_beta 90.00
_cell_angle_gamma 90.00
_space_group_name_H-M_alt 'I 4/m m m'
_space_group_IT_number 139
_space_group_name_Hall '-I 4 2'
loop_
_atom_site_label
_atom_site_fract_x
_atom_site_fract_y
_atom_site_fract_z
_atom_site_occupancy
Ce1 0.0000 0.0000 0.0000 1
Ce2 0.0000 0.0000 0.1590 1
Ge1 0.0000 0.0000 0.2992 1
Ge2 0.0000 0.0000 0.4252 1

No. 11
# InPdRu2I PBE-GGA optimized geometry
# Total magnetization, μB/atom: 0.971
# DOS(E_F), states/eV per cell: 5.5
# Uncorrected energy, eV/atom: -4.1863
data_InPdRu2I
_cell_length_a 4.9980
_cell_length_b 4.9980
_cell_length_c 5.1530
_cell_angle_alpha 90.00
_cell_angle_beta 90.00
_cell_angle_gamma 90.00
_space_group_name_H-M_alt 'P 4/m m m'
_space_group_IT_number 123
_space_group_name_Hall '-P 4 2'
loop_
_atom_site_label
_atom_site_fract_x
_atom_site_fract_y
_atom_site_fract_z
_atom_site_occupancy
In1 0.0000 0.0000 0.0000 1
Pd1 0.5000 0.5000 0.5000 1
Ru1 0.0000 0.5000 0.5000 1
I1 0.5000 0.5000 0.0000 1

No. 12
# Sr2LaTiF PBE-GGA optimized geometry
# Total magnetization, μB/atom: 0.456
# DOS(E_F), states/eV per cell: 5.2
# Uncorrected energy, eV/atom: -3.6849
data_Sr2LaTiF
_cell_length_a 6.9800
_cell_length_b 6.9800
_cell_length_c 4.4021
_cell_angle_alpha 90.00
_cell_angle_beta 90.00
_cell_angle_gamma 90.00
_space_group_name_H-M_alt 'P 4/m m m'
_space_group_IT_number 123
_space_group_name_Hall '-P 4 2'
loop_
_atom_site_label
_atom_site_fract_x
_atom_site_fract_y
_atom_site_fract_z
_atom_site_occupancy
Sr1 0.0000 0.5000 0.0000 1
La1 0.0000 0.0000 0.0000 1
Ti1 0.5000 0.5000 0.5000 1
F1 0.0000 0.0000 0.5000 1

No. 13
# ErTm2Th PBE-GGA optimized geometry
# Total magnetization, μB/atom: 0.000
# DOS(E_F), states/eV per cell: 5.6
# Uncorrected energy, eV/atom: -5.2064
# Energy relative to the lowest polymorph listed for this composition, eV per atom: 0.000
data_ErTm2Th
_cell_length_a 3.5207
_cell_length_b 3.5207
_cell_length_c 9.9868
_cell_angle_alpha 90.00
_cell_angle_beta 90.00
_cell_angle_gamma 90.00
_space_group_name_H-M_alt 'P 4/m m m'
_space_group_IT_number 123
_space_group_name_Hall '-P 4 2'
loop_
_atom_site_label
_atom_site_fract_x
_atom_site_fract_y
_atom_site_fract_z
_atom_site_occupancy
Er1 0.0000 0.0000 0.0000 1
Tm1 0.5000 0.5000 0.2526 1
Th1 0.0000 0.0000 0.5000 1

No. 14
# CsNaAg2Cl4 PBE-GGA optimized geometry
# Total magnetization, μB/atom: 0.000
# DOS(E_F), states/eV per cell: 0.0
# Uncorrected energy, eV/atom: -3.0764
data_CsNaAg2Cl4
_cell_length_a 7.2075
_cell_length_b 8.0329
_cell_length_c 8.9134
_cell_angle_alpha 90.00
_cell_angle_beta 90.00
_cell_angle_gamma 90.00
_space_group_name_H-M_alt 'I 2 2 2'
_space_group_IT_number 23
_space_group_name_Hall 'I 2 2'
loop_
_atom_site_label
_atom_site_fract_x
_atom_site_fract_y
_atom_site_fract_z
_atom_site_occupancy
Cs1 0.0000 0.0000 0.0000 1
Na1 0.0000 0.0000 0.5000 1
Ag1 0.0000 0.5000 0.1702 1
Cl1 0.2340 0.1787 0.3233 1

No. 15
# Th2Mg3Zn2 PBE-GGA optimized geometry
# Total magnetization, μB/atom: 0.000
# DOS(E_F), states/eV per cell: 11.7
# Uncorrected energy, eV/atom: -3.2611
data_Th2Mg3Zn2
_cell_length_a 10.6049
_cell_length_b 4.5356
_cell_length_c 7.1063
_cell_angle_alpha 90.00
_cell_angle_beta 97.33
_cell_angle_gamma 90.00
_space_group_name_H-M_alt 'C 1 2/m 1'
_space_group_IT_number 12
_space_group_name_Hall '-C 2y'
loop_
_atom_site_label
_atom_site_fract_x
_atom_site_fract_y
_atom_site_fract_z
_atom_site_occupancy
Th1 0.1168 0.0000 0.3687 1
Mg1 0.0000 0.5000 0.0000 1
Mg2 0.1922 0.0000 0.8660 1
Zn1 0.0935 0.5000 0.6598 1

No. 16
# ZnCd2Sb2 PBE-GGA optimized geometry
# Total magnetization, μB/atom: 0.000
# DOS(E_F), states/eV per cell: 5.0
# Uncorrected energy, eV/atom: -2.1039
# Energy relative to the lowest polymorph listed for this composition, eV per atom: 0.000
data_ZnCd2Sb2
_cell_length_a 7.7558
_cell_length_b 7.7558
_cell_length_c 4.3942
_cell_angle_alpha 90.00
_cell_angle_beta 90.00
_cell_angle_gamma 90.00
_space_group_name_H-M_alt 'P 4/m b m'
_space_group_IT_number 127
_space_group_name_Hall '-P 4 2ab'
loop_
_atom_site_label
_atom_site_fract_x
_atom_site_fract_y
_atom_site_fract_z
_atom_site_occupancy
Zn1 0.0000 0.0000 0.0000 1
Cd1 0.1325 0.3675 0.5000 1
Sb1 0.1851 0.6851 0.0000 1

No. 17
# ScCr3Os PBE-GGA optimized geometry
# Total magnetization, μB/atom: 0.000
# DOS(E_F), states/eV per cell: 10.6
# Uncorrected energy, eV/atom: -7.2408
# Energy relative to the lowest polymorph listed for this composition, eV per atom: 1.042
data_ScCr3Os
_cell_length_a 4.1937
_cell_length_b 4.1937
_cell_length_c 4.1937
_cell_angle_alpha 90.00
_cell_angle_beta 90.00
_cell_angle_gamma 90.00
_space_group_name_H-M_alt 'P m -3 m'
_space_group_IT_number 221
_space_group_name_Hall '-P 4 2 3'
loop_
_atom_site_label
_atom_site_fract_x
_atom_site_fract_y
_atom_site_fract_z
_atom_site_occupancy
Sc1 0.0000 0.0000 0.0000 1
Cr1 0.0000 0.0000 0.5000 1
Os1 0.5000 0.5000 0.5000 1

No. 18
# KPIrPd PBE-GGA optimized geometry
# Total magnetization, μB/atom: 0.000
# DOS(E_F), states/eV per cell: 4.0
# Uncorrected energy, eV/atom: -5.4615
data_KPIrPd
_cell_length_a 3.8989
_cell_length_b 3.8989
_cell_length_c 12.1005
_cell_angle_alpha 90.00
_cell_angle_beta 90.00
_cell_angle_gamma 90.00
_space_group_name_H-M_alt 'P 4/n m m'
_space_group_IT_number 129
loop_
_space_group_symop_operation_xyz
'x,y,z'
'-x,-y,-z'
'-y+1/2,x,z'
'y+1/2,-x,-z'
'-x+1/2,-y+1/2,z'
'x+1/2,y+1/2,-z'
'y,-x+1/2,z'
'-y,x+1/2,-z'
'x+1/2,-y,-z'
'-x+1/2,y,z'
'-y,-x,-z'
'y,x,z'
'-x,y+1/2,-z'
'x,-y+1/2,z'
'y+1/2,x+1/2,-z'
'-y+1/2,-x+1/2,z'
loop_
_atom_site_label
_atom_site_fract_x
_atom_site_fract_y
_atom_site_fract_z
_atom_site_occupancy
K1 0.2500 0.2500 0.2231 1
P1 0.2500 0.2500 0.6086 1
Ir1 0.2500 0.7500 0.5000 1
Pd1 0.2500 0.7500 0.0000 1

No. 19
# LiHoPuGa PBE-GGA optimized geometry
# Total magnetization, μB/atom: 1.536
# DOS(E_F), states/eV per cell: 23.8
# Uncorrected energy, eV/atom: -6.0707
data_LiHoPuGa
_cell_length_a 7.1806
_cell_length_b 7.1806
_cell_length_c 7.1806
_cell_angle_alpha 90.00
_cell_angle_beta 90.00
_cell_angle_gamma 90.00
_space_group_name_H-M_alt 'F -4 3 m'
_space_group_IT_number 216
_space_group_name_Hall 'F -4 2 3'
loop_
_atom_site_label
_atom_site_fract_x
_atom_site_fract_y
_atom_site_fract_z
_atom_site_occupancy
Li1 0.0000 0.0000 0.0000 1
Ho1 0.2500 0.2500 0.2500 1
Pu1 0.2500 0.2500 0.7500 1
Ga1 0.0000 0.0000 0.5000 1

No. 20
# PmEr5Sb6 PBE-GGA optimized geometry
# Total magnetization, μB/atom: 0.000
# DOS(E_F), states/eV per cell: 4.0
# Uncorrected energy, eV/atom: -5.4644
data_PmEr5Sb6
_cell_length_a 7.5816
_cell_length_b 13.1348
_cell_length_c 7.5812
_cell_angle_alpha 90.00
_cell_angle_beta 109.50
_cell_angle_gamma 90.00
_space_group_name_H-M_alt 'C 1 2/m 1'
_space_group_IT_number 12
_space_group_name_Hall '-C 2y'
loop_
_atom_site_label
_atom_site_fract_x
_atom_site_fract_y
_atom_site_fract_z
_atom_site_occupancy
Pm1 0.0000 0.0000 0.0000 1
Er1 0.0000 0.1643 0.5000 1
Er2 0.0000 0.3325 0.0000 1
Er3 0.0000 0.5000 0.5000 1
Sb1 0.2450 0.5000 0.2516 1
Sb2 0.2459 0.3308 0.7461 1